Computed, not measured: crystalline MgNiGe2O6 at its relaxed geometry at the PBE+U level of DFT.

Cell: 5.560 6.942 6.942 Å, 80.00 72.35 72.35°
Last column: magnetic moment on the atom in μB.
Sites, in units of the cell vectors:
1 Ge 0.707 0.197 0.383  0.01
2 Ge 0.207 0.383 0.197  0.01
3 Ge 0.293 0.803 0.617  0.01
4 Ge 0.793 0.617 0.803  0.01
5 O 0.152 0.641 0.125  0.02
6 O 0.139 0.599 0.692  0.00
7 O 0.844 0.018 0.202  0.05
8 O 0.861 0.401 0.308  0.00
9 O 0.348 0.875 0.359  0.02
10 O 0.156 0.982 0.798  0.05
11 O 0.639 0.692 0.599  0.00
12 O 0.656 0.798 0.982  0.05
13 O 0.848 0.359 0.875  0.02
14 O 0.361 0.308 0.401  0.00
15 O 0.344 0.202 0.018  0.05
16 O 0.652 0.125 0.641  0.02
17 Ni 0.750 0.093 0.907  1.79
18 Ni 0.250 0.907 0.093  1.79
19 Mg 0.250 0.259 0.741  0.00
20 Mg 0.750 0.741 0.259  0.00

space-group type = C2/c
total magnetic moment = 0.20 μB/atom
calculated total energy = -6.087 eV per atom